Density functional theory data (GGA-PBE) for SmHoS2O after structural relaxation.

Geometry as POSCAR:
```
SmHoS2O
1.0
3.906 0.000 0.000
0.000 3.906 0.000
0.000 0.000 13.917
Sm Ho S O
2 2 4 2
direct
0.250 0.250 0.087
0.750 0.750 0.913
0.250 0.250 0.623
0.750 0.750 0.377
0.250 0.250 0.410
0.250 0.250 0.801
0.750 0.750 0.199
0.750 0.750 0.590
0.250 0.750 0.000
0.750 0.250 0.000
```

Space group ... P4/nmm, No. 129
ΔE_f (raw) ... -2511 meV per atom


Density functional theory data (GGA-PBE) for SmHoSO2 after structural relaxation.

Geometry as POSCAR:
```
SmHoSO2
1.0
-1.906 1.906 6.039
1.906 -1.906 6.039
1.906 1.906 -6.039
Sm Ho S O
1 1 1 2
direct
0.000 0.000 0.000
0.695 0.695 0.000
0.351 0.351 0.000
0.104 0.604 0.500
0.604 0.104 0.500
```

Space group ... I4mm, No. 107
ΔE_f (raw) ... -3035 meV per atom


Density functional theory data (GGA-PBE) for HoSnS2O after structural relaxation.

Geometry as POSCAR:
```
HoSnS2O
1.0
3.791 0.000 0.000
0.000 3.791 0.000
0.000 0.000 14.457
Ho Sn S O
2 2 4 2
direct
0.250 0.250 0.080
0.750 0.750 0.920
0.250 0.250 0.649
0.750 0.750 0.351
0.250 0.250 0.392
0.250 0.250 0.817
0.750 0.750 0.183
0.750 0.750 0.608
0.250 0.750 0.000
0.750 0.250 0.000
```

Space group ... P4/nmm, No. 129
ΔE_f (raw) ... -1741 meV per atom


Density functional theory data (GGA-PBE) for TbHoS2O after structural relaxation.

Geometry as POSCAR:
```
TbHoS2O
1.0
3.864 0.000 0.000
0.000 3.864 0.000
0.000 0.000 13.867
Tb Ho S O
2 2 4 2
direct
0.250 0.250 0.083
0.750 0.750 0.917
0.250 0.250 0.625
0.750 0.750 0.375
0.250 0.250 0.410
0.250 0.250 0.804
0.750 0.750 0.196
0.750 0.750 0.590
0.250 0.750 0.000
0.750 0.250 0.000
```

Space group ... P4/nmm, No. 129
ΔE_f (raw) ... -2538 meV per atom


Density functional theory data (GGA-PBE) for TbHoSO2 after structural relaxation.

Geometry as POSCAR:
```
TbHoSO2
1.0
-1.889 1.889 5.973
1.889 -1.889 5.973
1.889 1.889 -5.973
Tb Ho S O
1 1 1 2
direct
0.000 0.000 0.000
0.306 0.306 0.000
0.652 0.652 0.000
0.401 0.901 0.500
0.901 0.401 0.500
```

Space group ... I4mm, No. 107
ΔE_f (raw) ... -3073 meV per atom


Density functional theory data (GGA-PBE) for HoTmS2O after structural relaxation.

Geometry as POSCAR:
```
HoTmS2O
1.0
3.826 0.000 0.000
0.000 3.826 0.000
0.000 0.000 13.753
Ho Tm S O
2 2 4 2
direct
0.250 0.250 0.083
0.750 0.750 0.917
0.250 0.250 0.625
0.750 0.750 0.375
0.250 0.250 0.411
0.250 0.250 0.804
0.750 0.750 0.196
0.750 0.750 0.589
0.250 0.750 0.000
0.750 0.250 0.000
```

Space group ... P4/nmm, No. 129
ΔE_f (raw) ... -2541 meV per atom